# CePrYTh (PBE, relaxed)
# Crystal system   cubic
# Offset from the most stable computed form   0.2011 eV/atom
# ΔE_f   248 meV per atom
data_CePrYTh
_chemical_formula_sum 'Ce4 Pr4 Y4 Th4'
_symmetry_space_group_name_H-M 'F -4 3 m'
_symmetry_Int_Tables_number 216
_symmetry_space_group_name_Hall 'F -4 2 3'
_cell_length_a 8.070
_cell_length_b 8.070
_cell_length_c 8.070
_cell_angle_alpha 90.00
_cell_angle_beta 90.00
_cell_angle_gamma 90.00
loop_
_atom_site_label
_atom_site_fract_x
_atom_site_fract_y
_atom_site_fract_z
Ce1 0.000 0.000 0.000
Pr1 0.000 0.000 0.500
Y1 0.250 0.250 0.750
Th1 0.250 0.250 0.250